1.
# MgSc5 | Alexandria via LeMat-Bulk | PBE | optimized geometry
# E_form ... 20 kJ/mol of atoms
# M_tot ... 0.0 μB per formula unit
# Energy above the lowest structure with this stoichiometry ... 0.203 eV/atom
# DOS at the Fermi energy ... 1.256 states/eV per atom
data_MgSc5
_chemical_formula_sum 'Mg4 Sc20'
_space_group_name_H-M_alt 'F -4 3 m'
_space_group_IT_number 216
_space_group_name_Hall 'F -4 2 3'
_cell_length_a 8.449
_cell_length_b 8.449
_cell_length_c 8.449
_cell_angle_alpha 90.00
_cell_angle_beta 90.00
_cell_angle_gamma 90.00
loop_
_atom_site_label
_atom_site_type_symbol
_atom_site_fract_x
_atom_site_fract_y
_atom_site_fract_z
_atom_site_occupancy
Mg1 Mg 0.000 0.000 0.000 1
Sc1 Sc 0.124 0.124 0.376 1
Sc2 Sc 0.250 0.250 0.750 1

2.
# GaFeAs2 | Alexandria via LeMat-Bulk | PBE | optimized geometry
# E_form ... 6 kJ/mol of atoms
# M_tot ... 1.2 μB per formula unit
# DOS at the Fermi energy ... 1.038 states/eV per atom
data_GaFeAs2
_chemical_formula_sum 'Ga4 Fe4 As8'
_space_group_name_H-M_alt 'I -4 2 d'
_space_group_IT_number 122
_space_group_name_Hall 'I -4 2bw'
_cell_length_a 5.533
_cell_length_b 5.533
_cell_length_c 11.148
_cell_angle_alpha 90.00
_cell_angle_beta 90.00
_cell_angle_gamma 90.00
loop_
_atom_site_label
_atom_site_type_symbol
_atom_site_fract_x
_atom_site_fract_y
_atom_site_fract_z
_atom_site_occupancy
Ga1 Ga 0.000 0.000 0.000 1
Fe1 Fe 0.000 0.000 0.500 1
As1 As 0.211 0.250 0.625 1

3.
# ZrVCrCo | Alexandria via LeMat-Bulk | PBE | optimized geometry
# E_form ... 2 kJ/mol of atoms
# M_tot ... 0.3 μB per formula unit
# DOS at the Fermi energy ... 0.623 states/eV per atom
data_ZrVCrCo
_chemical_formula_sum 'Zr4 V4 Cr4 Co4'
_space_group_name_H-M_alt 'F -4 3 m'
_space_group_IT_number 216
_space_group_name_Hall 'F -4 2 3'
_cell_length_a 6.100
_cell_length_b 6.100
_cell_length_c 6.100
_cell_angle_alpha 90.00
_cell_angle_beta 90.00
_cell_angle_gamma 90.00
loop_
_atom_site_label
_atom_site_type_symbol
_atom_site_fract_x
_atom_site_fract_y
_atom_site_fract_z
_atom_site_occupancy
Zr1 Zr 0.000 0.000 0.000 1
V1 V 0.000 0.000 0.500 1
Cr1 Cr 0.250 0.250 0.250 1
Co1 Co 0.250 0.250 0.750 1